1.
Below is a relaxed CdCu2Mo crystal, with properties calculated at the PBE level.

Lattice parameters (Å, degrees): 5.1827 5.1827 4.7847 71.23 71.23 29.80
Closest atoms and distances in Å follow each position.
Sites, in units of the cell vectors:
Cd 0.7372 0.7372 0.8023  2 Cd 2.66, 7 Cu 2.72-2.80
Cu 0.2666 0.2666 0.2891  4 Cu 2.56-2.66, 3 Mo 2.72-2.83, 4 Cd 2.72-2.78
Cu 0.9802 0.9802 0.9674  4 Cu 2.56-2.66, 4 Mo 2.75-2.76, 3 Cd 2.77-2.80
Mo 0.5160 0.5160 0.4411  2 Mo 2.66, 7 Cu 2.72-2.83

Summary:
energy of formation from the pure elements	0.349	eV/atom
symmetry	No. 8
mass density	9.25	g cm⁻³

2.
Below is a relaxed Mn3N crystal, with properties calculated at the PBE level.

Lattice parameters (Å, degrees): 2.5473 2.6279 6.0602 90.00 90.00 90.00
Closest atoms and distances in Å follow each position.
Sites, in units of the cell vectors:
Mn 0.5000 0.5000 0.1158  4 N 1.96
Mn 0.0000 0.5000 0.4721  10 Mn 2.47-2.63
Mn 0.5000 0.0000 0.7452  2 N 2.00
N 0.0000 0.0000 0.0002  6 Mn 1.96-2.00

Summary:
raw total energy	-0.6595	Ry/atom
symmetry	No. 25
mass density	7.32	g cm⁻³

3.
Below is a relaxed Al2TlCl crystal, with properties calculated at the PBE level.

Lattice parameters (Å, degrees): 3.1995 3.1995 8.9047 90.00 90.00 90.00
Closest atoms and distances in Å follow each position.
Sites, in units of the cell vectors:
Tl 0.5000 0.5000 0.7500  4 Tl 3.20, 8 Al 3.30
Al 0.0000 0.0000 0.0205  4 Cl 3.05, 4 Al 3.20, 4 Tl 3.30
Cl 0.5000 0.5000 0.2500  8 Al 3.05, 4 Cl 3.20
Al 0.0000 0.0000 0.4795  4 Cl 3.05, 4 Al 3.20, 4 Tl 3.30

Summary:
energy above the most stable polymorph in this dataset	1.01	eV per formula unit
symmetry	No. 123
mass density	5.35	g cm⁻³

Per-record Fermi-level density of states, states/eV per cell: 4.44 3.53 2.52